Entry A
# Nd2In5Ni3

A relaxed structure of Nd2In5Ni3 (GGA-PBE, the Alexandria database).

extended XYZ file:
```
20
Lattice="-4.5029 -0.8463 -3.9432 -6.5518 -4.8698 3.8935 -6.8382 5.5790 1.9781" Properties=species:S:1:pos:R:3 pbc="T T T"
Nd -5.2769 -2.1517 1.8543
Nd -7.6528 1.9631 -0.9492
Nd -12.6160 2.0146 0.0740
Nd -10.2401 -2.1001 2.8775
In -9.7262 3.3801 1.1144
In -11.7952 -3.6993 0.3630
In -8.1667 -3.5172 0.8139
In -6.0977 3.5622 1.5653
In -12.6749 0.1755 2.8527
In -5.2181 -0.3125 -0.9244
In -10.0722 -0.2801 -0.0216
In -7.8207 0.1431 1.9500
In -2.9666 0.1106 1.0472
In -14.9263 -0.2477 0.8811
Ni -10.2849 1.1153 2.2385
Ni -12.4841 -1.2161 0.6167
Ni -7.6080 -1.2523 -0.3102
Ni -5.4088 1.0790 1.3116
Ni -1.1257 -0.2116 -0.9858
Ni -3.3772 -0.6347 -2.9574
```

Computed properties:
Calculated density   8.06 Mg/m³
Space-group type   Ibam, No. 72
Total magnetic moment   0.0 μB/f.u.

Entry B
# Nd2In5Ni3

A relaxed structure of Nd2In5Ni3 (GGA-PBE, the Alexandria database).

extended XYZ file:
```
20
Lattice="-3.9444 -0.3666 -2.0116 0.1526 -7.1611 1.0059 -4.0740 1.6814 12.5882" Properties=species:S:1:pos:R:3 pbc="T T T"
Nd -5.6171 -4.1720 11.7745
Nd -1.9909 -4.5259 4.7285
Nd -5.8888 -0.6704 6.7626
Nd -2.2392 -2.1193 -0.1295
In -4.8284 -1.6615 9.7704
In -3.4227 -2.6974 7.2029
In -4.3675 -6.6970 4.8780
In -1.4903 -1.3618 3.1704
In -3.4146 -5.5891 7.7139
In -7.3759 0.3610 9.4907
In -4.4044 -2.4542 4.1772
In -6.3776 -4.3844 8.3980
In -0.5321 -4.2245 1.8133
In -2.9912 -6.3503 2.1163
Ni -5.1462 -4.3720 5.9812
Ni -3.2169 -3.6277 2.0625
Ni -0.4072 -7.0009 2.0744
Ni -2.7353 -0.7357 5.4976
Ni -7.3832 -2.3827 10.0050
Ni -4.7170 0.9776 9.0710
```

Computed properties:
Calculated density   8.16 Mg/m³
Space-group type   Cmc2_1, No. 36
Total magnetic moment   0.0 μB/f.u.

Stability verdict: entry B, ahead by 0.031 eV/atom

Entry A
# NdIn2Ni2

A relaxed structure of NdIn2Ni2 (GGA-PBE, the Alexandria database).

extended XYZ file:
```
5
Lattice="-1.6001 3.8107 0.0257 0.2110 0.1232 -5.1272 -3.7127 -3.8072 1.0165" Properties=species:S:1:pos:R:3 pbc="T T T"
Nd 0.0000 0.0000 0.0000
In -2.0561 1.3959 -2.6581
In -3.0457 -1.2693 -1.4269
Ni -2.2857 -0.9331 -3.9546
Ni -2.8161 1.0598 -0.1305
```

Computed properties:
Calculated density   7.94 Mg/m³
Space-group type   C2/m, No. 12
Total magnetic moment   0.0 μB/f.u.

Entry B
# NdIn2Ni2

A relaxed structure of NdIn2Ni2 (GGA-PBE, the Alexandria database).

extended XYZ file:
```
10
Lattice="-4.1365 -1.0012 0.8900 1.0452 -0.2606 4.5647 -2.4212 9.8243 -0.2010" Properties=species:S:1:pos:R:3 pbc="T T T"
Nd -0.8745 1.9242 3.4104
Nd -4.6379 6.6383 1.8433
In -2.3203 8.2943 3.8572
In -3.1922 0.2682 1.3966
In -1.9806 4.6329 1.3168
In -3.5318 3.9296 3.9370
Ni -1.7424 5.8237 3.7635
Ni -3.7700 2.7388 1.4903
Ni -3.0601 9.4236 1.6892
Ni -2.4524 -0.8611 3.5646
```

Computed properties:
Calculated density   7.97 Mg/m³
Space-group type   P2_1/m, No. 11
Total magnetic moment   0.0 μB/f.u.

Stability verdict: entry A, ahead by 0.015 eV/atom

Entry A
# Nd3InO6

A relaxed structure of Nd3InO6 (GGA-PBE, the Alexandria database).

extended XYZ file:
```
20
Lattice="-5.7847 -3.3687 -1.7021 -1.0717 -0.9857 6.7519 -3.2368 6.1011 0.0847" Properties=species:S:1:pos:R:3 pbc="T T T"
Nd -1.8148 0.7684 3.6904
Nd -3.3557 2.4973 0.0731
Nd -6.3594 3.4714 4.3682
Nd -3.7338 -1.7246 0.7662
Nd -6.7374 -0.7505 5.0613
Nd -8.2783 0.9784 1.4441
In 0.0000 0.0000 0.0000
In -5.0466 0.8734 2.5672
O -4.2650 4.7200 4.6160
O -2.3553 0.7438 6.0808
O -3.2941 2.2174 2.4626
O -4.7998 4.4764 0.0055
O -3.5565 -0.7157 2.9448
O -5.4659 1.2620 4.7030
O -4.6272 0.4848 0.4315
O -6.5367 2.4625 2.1897
O -5.2933 -2.7296 5.1290
O -6.7990 -0.4706 2.6719
O -7.7379 1.0030 -0.9463
O -5.8282 -2.9732 0.5184
```

Computed properties:
Calculated density   6.50 Mg/m³
Space-group type   R-3, No. 148
Total magnetic moment   0.0 μB/f.u.

Entry B
# Nd3InO6

A relaxed structure of Nd3InO6 (GGA-PBE, the Alexandria database).

extended XYZ file:
```
20
Lattice="5.7878 0.0000 0.0000 0.0000 7.4894 0.0031 0.0000 -1.6683 7.3012" Properties=species:S:1:pos:R:3 pbc="T T T"
Nd 2.7577 5.6558 5.1061
Nd 5.6516 3.7153 6.6526
Nd 2.4696 1.9796 4.3941
Nd 5.3635 3.8415 2.9102
Nd 5.6516 0.1654 2.1982
Nd 2.7577 2.1059 0.6517
In 5.7667 0.0407 5.9393
In 2.8728 5.7805 1.3650
O 1.1698 3.9817 4.7060
O 4.0637 3.6988 4.9314
O 1.1165 1.7022 6.5538
O 4.0104 6.0087 3.1217
O 0.9957 -1.4049 7.0913
O 3.7466 0.3326 5.7067
O 0.8527 5.4885 1.5977
O 3.8896 7.2260 0.2130
O 1.1165 -0.1876 4.1826
O 4.0104 4.1190 0.7505
O 1.1698 2.1223 2.3729
O 4.0637 1.8394 2.5983
```

Computed properties:
Calculated density   6.75 Mg/m³
Space-group type   Cmc2_1, No. 36
Total magnetic moment   0.0 μB/f.u.

Stability verdict: entry A, ahead by 0.022 eV/atom

Entry A
# Nd4In2O

A relaxed structure of Nd4In2O (GGA-PBE, the Alexandria database).

extended XYZ file:
```
7
Lattice="3.5596 0.0000 0.0000 0.0000 4.8306 -1.8271 0.0000 1.7744 11.9905" Properties=species:S:1:pos:R:3 pbc="T T T"
Nd 1.7798 2.9976 0.6258
Nd 0.0000 4.1122 3.5726
Nd 1.7798 3.6075 9.5375
Nd 0.0000 2.4929 6.5907
In 1.7798 1.3405 3.5440
In 1.7798 5.2646 6.6194
O 0.0000 2.4153 -0.9136
```

Computed properties:
Calculated density   6.27 Mg/m³
Space-group type   Cmmm, No. 65
Total magnetic moment   0.0 μB/f.u.

Entry B
# Nd4In2O

A relaxed structure of Nd4In2O (GGA-PBE, the Alexandria database).

extended XYZ file:
```
7
Lattice="4.8423 0.0000 0.0000 0.0000 4.8423 0.0000 -2.4211 -2.4211 8.4616" Properties=species:S:1:pos:R:3 pbc="T T T"
Nd 2.4211 2.4211 5.5592
Nd 0.0000 0.0000 2.9024
Nd 0.0000 2.4211 0.0000
Nd 2.4211 0.0000 0.0000
O 0.0000 0.0000 0.0000
In 2.4211 2.4211 2.3389
In 0.0000 0.0000 6.1226
```

Computed properties:
Calculated density   6.88 Mg/m³
Space-group type   I4/mmm, No. 139
Total magnetic moment   0.0 μB/f.u.

Stability verdict: entry B, ahead by 0.253 eV/atom

Entry A
# Nd4InOs

A relaxed structure of Nd4InOs (GGA-PBE, the Alexandria database).

extended XYZ file:
```
12
Lattice="6.2521 -0.7154 0.0000 -2.4891 8.8382 0.0000 -1.8815 -4.0614 6.8389" Properties=species:S:1:pos:R:3 pbc="T T T"
Nd -1.5461 -1.7081 5.8115
Nd 1.7827 3.1283 4.5223
Nd -1.5800 2.0658 5.8115
Nd -1.1458 5.3522 4.5223
Nd 3.0273 -1.2908 2.3166
Nd 3.4615 1.9957 1.0273
Nd 0.0988 0.9331 2.3166
Nd 3.4276 5.7695 1.0273
In 0.3185 4.2403 1.6853
In 1.5630 -0.1789 5.1535
Os -2.8076 4.5980 6.8376
Os 4.6891 -0.5365 0.0012
```

Computed properties:
Calculated density   8.01 Mg/m³
Space-group type   C2/c, No. 15
Total magnetic moment   0.0 μB/f.u.

Entry B
# Nd4InOs

A relaxed structure of Nd4InOs (GGA-PBE, the Alexandria database).

extended XYZ file:
```
24
Lattice="8.6231 0.0000 4.9785 2.8744 8.1299 4.9785 0.0000 0.0000 9.9571" Properties=species:S:1:pos:R:3 pbc="T T T"
Nd 4.6399 3.2809 8.0365
Nd 7.9664 3.2809 9.9571
Nd 5.7487 6.4172 9.9571
Nd 4.6399 3.2809 11.8777
Nd 6.4002 4.5256 14.9356
Nd 10.8460 7.6693 14.9357
Nd 7.5116 7.6693 13.0105
Nd 9.7346 4.5256 16.8608
Nd 9.7346 4.5256 13.0105
Nd 7.5116 7.6693 16.8608
Nd 2.2099 1.5626 9.9571
Nd 9.2876 6.5673 9.9571
Nd 3.9793 6.5673 6.8924
Nd 7.5181 1.5626 13.0218
Nd 7.5181 1.5626 6.8924
Nd 3.9793 6.5673 13.0218
In 1.9450 1.3753 3.3689
In 4.7331 1.3753 4.9786
In 2.8744 4.0039 4.9786
In 1.9450 1.3753 6.5882
Os 7.0405 4.9783 12.1944
Os 3.1653 4.9783 9.9571
Os 5.7487 1.3248 9.9571
Os 7.0405 4.9783 7.7198
```

Computed properties:
Calculated density   8.39 Mg/m³
Space-group type   F-43m, No. 216
Total magnetic moment   0.0 μB/f.u.

Stability verdict: entry B, ahead by 0.024 eV/atom

Entry A
# Nd3InP

A relaxed structure of Nd3InP (GGA-PBE, the Alexandria database).

extended XYZ file:
```
10
Lattice="-1.6059 0.8935 -4.2466 -5.2926 -4.4885 1.0571 -5.1079 6.8555 3.3740" Properties=species:S:1:pos:R:3 pbc="T T T"
Nd -2.1534 2.5179 0.0836
Nd -4.7505 0.3224 0.6038
Nd -6.4401 5.4159 2.3144
Nd -9.8530 0.7426 0.1009
Nd -5.5662 -2.1555 -2.1299
Nd -7.2558 2.9380 -0.4193
In -3.2963 0.5867 -2.4114
In -8.7100 2.6737 2.5959
P -7.1992 0.0197 -1.0548
P -4.8071 3.2407 1.2392
```

Computed properties:
Calculated density   6.44 Mg/m³
Space-group type   P2_1/m, No. 11
Total magnetic moment   0.0 μB/f.u.

Entry B
# Nd3InP

A relaxed structure of Nd3InP (GGA-PBE, the Alexandria database).

extended XYZ file:
```
5
Lattice="5.4727 0.0000 0.0000 0.0000 5.4727 0.0000 0.0000 0.0000 5.4727" Properties=species:S:1:pos:R:3 pbc="T T T"
P 0.0000 0.0000 0.0000
Nd 0.0000 2.7363 0.0000
Nd 0.0000 0.0000 2.7363
Nd 2.7363 0.0000 0.0000
In 2.7363 2.7363 2.7363
```

Computed properties:
Calculated density   5.86 Mg/m³
Space-group type   Pm-3m, No. 221
Total magnetic moment   0.0 μB/f.u.

Stability verdict: entry A, ahead by 0.077 eV/atom

Entry A
# Nd2PaIn

A relaxed structure of Nd2PaIn (GGA-PBE, the Alexandria database).

extended XYZ file:
```
4
Lattice="-0.4892 -3.3836 -0.1128 3.3620 -0.4990 0.3861 -1.1551 -0.1614 9.8488" Properties=species:S:1:pos:R:3 pbc="T T T"
Pa 1.4364 -1.9413 0.1367
Nd -0.8602 -0.1202 7.3348
Nd -0.2948 -0.0412 2.5140
In 0.8588 -2.0220 5.0611
```

Computed properties:
Calculated density   9.08 Mg/m³
Space-group type   P4/mmm, No. 123
Total magnetic moment   0.0 μB/f.u.

Entry B
# Nd2PaIn

A relaxed structure of Nd2PaIn (GGA-PBE, the Alexandria database).

extended XYZ file:
```
4
Lattice="-0.2752 0.6089 3.2477 0.9718 -2.2802 2.2024 11.4790 4.2808 1.8629" Properties=species:S:1:pos:R:3 pbc="T T T"
Pa 0.0000 0.0000 0.0000
Nd 8.4565 2.9806 1.8505
Nd 3.7191 -0.3711 5.4626
In 6.0878 1.3047 3.6565
```

Computed properties:
Calculated density   9.04 Mg/m³
Space-group type   R-3m, No. 166
Total magnetic moment   0.0 μB/f.u.

Entry C
# Nd2PaIn

A relaxed structure of Nd2PaIn (GGA-PBE, the Alexandria database).

extended XYZ file:
```
4
Lattice="-2.6880 -2.0086 -3.2015 -1.7266 -3.1596 3.4319 -3.6674 3.1810 1.0834" Properties=species:S:1:pos:R:3 pbc="T T T"
Pa -4.0410 -0.9936 0.6569
Nd -1.8337 1.5905 0.5417
Nd -0.8633 -1.5798 1.7160
In -1.3440 -1.0043 -1.6008
```

Computed properties:
Calculated density   9.18 Mg/m³
Space-group type   P4/mmm, No. 123
Total magnetic moment   0.0 μB/f.u.

Stability verdict: entry A, ahead by 0.030 eV/atom

Entry A
# NdInPb2

A relaxed structure of NdInPb2 (GGA-PBE, the Alexandria database).

extended XYZ file:
```
4
Lattice="-1.1655 0.9325 3.2873 -3.4835 -0.3988 0.8606 0.5994 -10.4459 5.1581" Properties=species:S:1:pos:R:3 pbc="T T T"
Pb -0.0040 -7.4632 4.0981
Pb -4.0456 -2.4491 5.2079
Nd 0.0000 0.0000 0.0000
In -2.0248 -4.9561 4.6530
```

Computed properties:
Calculated density   8.63 Mg/m³
Space-group type   R-3m, No. 166
Total magnetic moment   0.0 μB/f.u.

Entry B
# NdInPb2

A relaxed structure of NdInPb2 (GGA-PBE, the Alexandria database).

extended XYZ file:
```
4
Lattice="-1.0552 -3.7309 2.9632 4.3931 0.3754 2.0371 -1.7854 3.1081 3.2775" Properties=species:S:1:pos:R:3 pbc="T T T"
Pb -0.8927 1.5540 1.6388
Pb 2.1966 0.1877 1.0185
Nd 0.7762 -0.1237 4.1389
In -0.5276 -1.8655 1.4816
```

Computed properties:
Calculated density   9.71 Mg/m³
Space-group type   P4/mmm, No. 123
Total magnetic moment   0.0 μB/f.u.

Entry C
# NdInPb2

A relaxed structure of NdInPb2 (GGA-PBE, the Alexandria database).

extended XYZ file:
```
4
Lattice="-1.6575 0.4294 3.7564 -0.1466 -4.1057 0.4047 6.3398 0.0489 2.7918" Properties=species:S:1:pos:R:3 pbc="T T T"
Pb 4.6591 0.0359 2.0517
Pb 1.6807 0.0130 0.7401
Nd -0.9020 -1.8381 2.0806
In 2.2679 -1.8137 3.4764
```

Computed properties:
Calculated density   9.47 Mg/m³
Space-group type   P4/mmm, No. 123
Total magnetic moment   0.0 μB/f.u.

Stability verdict: entry B, ahead by 0.152 eV/atom

Entry A
# Nd3In2Pb

A relaxed structure of Nd3In2Pb (GGA-PBE, the Alexandria database).

extended XYZ file:
```
12
Lattice="3.6961 0.0000 0.0000 0.0000 5.6575 0.0000 0.0000 0.0000 16.9953" Properties=species:S:1:pos:R:3 pbc="T T T"
Nd 1.8483 2.8287 11.3394
Nd 1.8513 0.0000 8.4976
Nd 1.8483 2.8287 5.6558
Nd 1.8478 0.0000 2.8418
Nd 1.8448 2.8287 0.0000
Nd 1.8478 0.0000 14.1535
In 0.0011 0.0000 11.3559
In 0.0011 0.0000 5.6394
In 3.6950 2.8287 2.8582
In 3.6950 2.8287 14.1370
Pb 0.0019 2.8287 8.4976
Pb 3.6942 0.0000 0.0000
```

Computed properties:
Calculated density   8.13 Mg/m³
Space-group type   Pmmn, No. 59
Total magnetic moment   0.0 μB/f.u.

Entry B
# Nd3In2Pb

A relaxed structure of Nd3In2Pb (GGA-PBE, the Alexandria database).

extended XYZ file:
```
6
Lattice="5.5105 0.0000 0.0000 -2.7553 4.7723 0.0000 0.0000 0.0000 6.7784" Properties=species:S:1:pos:R:3 pbc="T T T"
Nd 0.0000 0.0000 3.3892
Nd 2.7553 1.5908 5.7136
Nd 0.0000 3.1815 1.0649
In 2.7553 1.5908 2.3567
In 0.0000 3.1815 4.4218
Pb 0.0000 0.0000 0.0000
```

Computed properties:
Calculated density   8.10 Mg/m³
Space-group type   P-3m1, No. 164
Total magnetic moment   0.0 μB/f.u.

Stability verdict: entry B, ahead by 0.005 eV/atom

Entry A
# NdInPb

A relaxed structure of NdInPb (GGA-PBE, the Alexandria database).

extended XYZ file:
```
6
Lattice="-1.3873 3.3000 -2.7375 -2.4237 -3.1207 -2.5337 -5.4263 2.7855 6.1078" Properties=species:S:1:pos:R:3 pbc="T T T"
Nd -1.5941 1.0552 0.2252
Nd -7.6433 1.9097 0.6115
In -4.8071 -0.1358 0.4177
In -4.4302 3.1006 0.4189
Pb -6.0126 1.8707 3.4475
Pb -3.2247 1.0942 -2.6108
```

Computed properties:
Calculated density   8.81 Mg/m³
Space-group type   Cmcm, No. 63
Total magnetic moment   0.0 μB/f.u.

Entry B
# NdInPb

A relaxed structure of NdInPb (GGA-PBE, the Alexandria database).

extended XYZ file:
```
6
Lattice="-2.9323 3.3082 -4.1150 0.7362 -4.8911 -4.4567 -2.3781 -3.4288 3.3701" Properties=species:S:1:pos:R:3 pbc="T T T"
Nd -3.4345 -4.3433 -3.2603
Nd -1.1396 -0.6684 -1.9413
In -0.6890 -3.0759 -4.1978
In -3.8851 -1.9358 -1.0038
Pb -0.8209 -4.1599 -0.5433
Pb -1.1891 -1.7144 1.6851
```

Computed properties:
Calculated density   8.69 Mg/m³
Space-group type   Cmcm, No. 63
Total magnetic moment   0.0 μB/f.u.

Entry C
# NdInPb

A relaxed structure of NdInPb (GGA-PBE, the Alexandria database).

extended XYZ file:
```
3
Lattice="-3.3432 1.2008 -1.5249 -1.9366 -1.8592 2.7817 2.8386 5.1487 2.7311" Properties=species:S:1:pos:R:3 pbc="T T T"
Pb 0.1192 2.8922 2.0160
Nd -2.5959 0.7375 1.3719
In -2.4654 3.9051 3.5799
```

Computed properties:
Calculated density   8.81 Mg/m³
Space-group type   I4mm, No. 107
Total magnetic moment   0.0 μB/f.u.

Stability verdict: entry A, ahead by 0.082 eV/atom